i) DFT (GGA-PBE) results for a relaxed Ba2Sr6Ca3 crystal.

Summary:
Volume   54.78 A^3/atom
Crystal system   orthorhombic

Cell: 11.782 11.115 6.511 Å, 72.97 56.45 57.99°
Fractional coordinates of all 11 atoms:
Ca  0.694  0.612  0.000
Ca  0.306  0.388  0.000
Sr  0.429  0.703  0.719
Sr  0.571  0.297  0.281
Sr  0.868  0.703  0.281
Sr  0.132  0.297  0.719
Ca  0.000  0.000  0.000
Sr  0.710  0.000  0.791
Ba  0.840  0.321  0.500
Ba  0.160  0.679  0.500
Sr  0.290  0.000  0.209

---

ii) DFT (GGA-PBE) results for a relaxed Ba2Sr6Ca3 crystal.

Summary:
Volume   52.59 A^3/atom
Crystal system   trigonal

Cell: 4.210 4.210 37.762 Å, 86.80 86.80 60.00°
Fractional coordinates of all 11 atoms:
Ba  0.453  0.453  0.642
Sr  0.818  0.818  0.546
Sr  0.087  0.087  0.739
Sr  0.638  0.638  0.087
Ca  0.275  0.275  0.174
Ba  0.547  0.547  0.358
Sr  0.913  0.913  0.261
Ca  0.725  0.725  0.826
Sr  0.182  0.182  0.454
Sr  0.362  0.362  0.913
Ca  0.000  0.000  0.000

---

Result of the stability comparison: i) is the least stable of them.

---

i) DFT (GGA-PBE) results for a relaxed Ba3Sr5Ca3 crystal.

Summary:
Volume   57.62 A^3/atom
Crystal system   hexagonal

Cell: 4.076 13.400 13.400 Å, 120.00 90.00 90.00°
Fractional coordinates of all 11 atoms:
Sr  0.500  0.667  0.333
Ba  0.000  0.000  0.600
Ba  0.000  0.600  0.000
Ba  0.000  0.400  0.400
Sr  0.500  0.672  0.672
Ca  0.500  0.154  0.154
Sr  0.500  0.328  0.000
Sr  0.500  0.000  0.328
Sr  0.500  0.333  0.667
Ca  0.500  0.846  0.000
Ca  0.500  0.000  0.846

---

ii) DFT (GGA-PBE) results for a relaxed Ba3Sr5Ca3 crystal.

Summary:
Volume   57.01 A^3/atom
Crystal system   hexagonal

Cell: 4.028 13.408 13.408 Å, 120.00 90.00 90.00°
Fractional coordinates of all 11 atoms:
Sr  0.500  0.834  0.000
Sr  0.500  0.166  0.166
Ba  0.500  0.663  0.663
Sr  0.500  0.000  0.834
Sr  0.500  0.667  0.333
Sr  0.500  0.333  0.667
Ca  0.000  0.408  0.408
Ba  0.500  0.337  0.000
Ca  0.000  0.592  0.000
Ba  0.500  0.000  0.337
Ca  0.000  0.000  0.592

---

Result of the stability comparison: ii) is the least stable of them.

---

i) DFT (GGA-PBE) results for a relaxed Ba2Sr6Ca crystal.

Summary:
Volume   55.30 A^3/atom
Crystal system   monoclinic

Cell: 7.386 7.387 12.858 Å, 72.79 84.18 48.52°
Fractional coordinates of all 9 atoms:
Ba  0.668  0.609  0.058
Sr  0.655  0.944  0.711
Sr  0.328  0.723  0.605
Ba  0.332  0.391  0.942
Sr  0.993  0.170  0.823
Ca  0.000  0.500  0.500
Sr  0.007  0.830  0.177
Sr  0.345  0.056  0.289
Sr  0.672  0.277  0.395

---

ii) DFT (GGA-PBE) results for a relaxed Ba2Sr6Ca crystal.

Summary:
Volume   55.23 A^3/atom
Crystal system   monoclinic

Cell: 4.402 11.883 11.883 Å, 125.72 85.47 85.47°
Fractional coordinates of all 9 atoms:
Sr  0.830  0.502  0.170
Sr  0.336  0.326  0.326
Ca  0.000  0.000  0.000
Sr  0.664  0.674  0.674
Ba  0.500  0.839  0.161
Ba  0.500  0.161  0.839
Sr  0.170  0.498  0.830
Sr  0.170  0.830  0.498
Sr  0.830  0.170  0.502

---

Result of the stability comparison: ii) is the least stable of them.

---

i) DFT (GGA-PBE) results for a relaxed BaSrCa crystal.

Summary:
Volume   52.70 A^3/atom
Crystal system   trigonal

Cell: 4.172 4.172 20.975 Å, 90.00 90.00 120.00°
Fractional coordinates of all 6 atoms:
Ba  0.000  0.000  0.596
Sr  0.667  0.333  0.916
Sr  0.333  0.667  0.084
Ba  0.000  0.000  0.404
Ca  0.667  0.333  0.242
Ca  0.333  0.667  0.758

---

ii) DFT (GGA-PBE) results for a relaxed BaSrCa crystal.

Summary:
Volume   52.46 A^3/atom
Crystal system   orthorhombic

Cell: 10.146 9.946 4.105 Å, 80.96 75.49 23.55°
Fractional coordinates of all 3 atoms:
Ba  0.004  0.004  0.996
Ca  0.668  0.668  0.332
Sr  0.328  0.328  0.672

---

iii) DFT (GGA-PBE) results for a relaxed BaSrCa crystal.

Summary:
Volume   65.98 A^3/atom
Crystal system   cubic

Cell: 6.542 6.542 6.542 Å, 60.00 60.00 60.00°
Fractional coordinates of all 3 atoms:
Ba  0.500  0.500  0.500
Ca  0.750  0.750  0.750
Sr  0.000  0.000  0.000

---

Result of the stability comparison: iii) is the least stable of them.

---

i) DFT (GGA-PBE) results for a relaxed Ba6SrCa3 crystal.

Summary:
Volume   57.98 A^3/atom
Crystal system   monoclinic

Cell: 11.711 8.374 11.825 Å, 90.00 90.25 90.00°
Fractional coordinates of all 20 atoms:
Sr  0.000  0.000  0.000
Ba  0.833  0.598  0.562
Ba  0.829  0.585  0.941
Ba  0.337  0.217  0.755
Ba  0.171  0.415  0.059
Ba  0.167  0.402  0.438
Ca  0.984  0.255  0.744
Ba  0.667  0.098  0.938
Sr  0.500  0.500  0.500
Ba  0.671  0.085  0.559
Ba  0.663  0.783  0.245
Ca  0.516  0.755  0.756
Ba  0.329  0.915  0.441
Ba  0.163  0.717  0.745
Ca  0.500  0.500  0.000
Ca  0.484  0.245  0.244
Ca  0.000  0.000  0.500
Ca  0.016  0.745  0.256
Ba  0.837  0.283  0.255
Ba  0.333  0.902  0.062

---

ii) DFT (GGA-PBE) results for a relaxed Ba6SrCa3 crystal.

Summary:
Volume   82.29 A^3/atom
Crystal system   trigonal

Cell: 4.346 14.857 14.857 Å, 119.06 95.60 95.60°
Fractional coordinates of all 10 atoms:
Ca  0.555  0.537  0.537
Ca  0.019  0.463  0.000
Ba  0.958  0.291  0.291
Ba  0.394  0.231  0.000
Sr  0.827  0.000  0.000
Ca  0.019  0.000  0.463
Ba  0.394  0.000  0.231
Ba  0.163  0.769  0.769
Ba  0.667  0.000  0.709
Ba  0.667  0.709  0.000

---

Result of the stability comparison: ii) is the least stable of them.